# Ba2YCo3O8

Ba2YCo3O8 at its PBEsol-relaxed geometry (SCAN, Alexandria).

Properties
- uncorrected formation energy (eV per atom) = -2.1781

```
data_Ba2YCo3O8
_chemical_formula_sum 'Ba2 Y1 Co3 O8'
_cell_length_a 3.8533
_cell_length_b 3.8533
_cell_length_c 11.1920
_cell_angle_alpha 90.00
_cell_angle_beta 90.00
_cell_angle_gamma 90.00
_space_group_name_H-M_alt 'P 4/m m m'
_space_group_IT_number 123
_space_group_name_Hall '-P 4 2'
loop_
_atom_site_label
_atom_site_type_symbol
_atom_site_fract_x
_atom_site_fract_y
_atom_site_fract_z
Ba1 Ba 0.0000 0.0000 0.1705
Y1 Y 0.0000 0.0000 0.5000
Co1 Co 0.5000 0.5000 0.0000
Co2 Co 0.5000 0.5000 0.3431
O1 O 0.0000 0.5000 0.0000
O2 O 0.0000 0.5000 0.3756
O3 O 0.5000 0.5000 0.1741
```

=====

# RbNaSnF6

RbNaSnF6 at its PBEsol-relaxed geometry (SCAN, Alexandria).

Properties
- uncorrected formation energy (eV per atom) = -2.8794

```
data_RbNaSnF6
_chemical_formula_sum 'Rb8 Na8 Sn8 F48'
_cell_length_a 8.1591
_cell_length_b 13.1182
_cell_length_c 10.8743
_cell_angle_alpha 90.00
_cell_angle_beta 90.00
_cell_angle_gamma 90.00
_space_group_name_H-M_alt 'P b c n'
_space_group_IT_number 60
loop_
_space_group_symop_operation_xyz
'x,y,z'
'-x,-y,-z'
'-x+1/2,-y+1/2,z+1/2'
'x+1/2,y+1/2,-z+1/2'
'x+1/2,-y+1/2,-z'
'-x+1/2,y+1/2,z'
'-x,y,-z+1/2'
'x,-y,z+1/2'
loop_
_atom_site_label
_atom_site_type_symbol
_atom_site_fract_x
_atom_site_fract_y
_atom_site_fract_z
Rb1 Rb 0.0000 0.0709 0.2500
Rb2 Rb 0.0000 0.3693 0.7500
Na1 Na 0.2442 0.3572 0.0753
Sn1 Sn 0.2497 0.1346 0.9266
F1 F 0.0179 0.1623 0.8791
F2 F 0.0198 0.3857 0.4775
F3 F 0.1814 0.0027 0.4803
F4 F 0.2065 0.2219 0.3765
F5 F 0.2069 0.4264 0.2622
F6 F 0.2104 0.1853 0.0978
```

=====

# Cr2CoAg

Cr2CoAg at its PBEsol-relaxed geometry (SCAN, Alexandria).

Properties
- E above lowest polymorph (meV/atom) = 121.6
- formation energy (eV per atom) = 0.649

```
data_Cr2CoAg
_chemical_formula_sum 'Cr4 Co2 Ag2'
_cell_length_a 4.9936
_cell_length_b 7.6911
_cell_length_c 2.5255
_cell_angle_alpha 90.00
_cell_angle_beta 90.00
_cell_angle_gamma 90.00
_space_group_name_H-M_alt 'C m m m'
_space_group_IT_number 65
_space_group_name_Hall '-C 2 2'
loop_
_atom_site_label
_atom_site_type_symbol
_atom_site_fract_x
_atom_site_fract_y
_atom_site_fract_z
Cr1 Cr 0.2500 0.2500 0.0000
Co1 Co 0.0000 0.0000 0.5000
Ag1 Ag 0.0000 0.5000 0.5000
```

=====

# NaScTc3

NaScTc3 at its PBEsol-relaxed geometry (SCAN, Alexandria).

Properties
- formation energy (eV per atom) = 2.062

```
data_NaScTc3
_chemical_formula_sum 'Na1 Sc1 Tc3'
_cell_length_a 4.4819
_cell_length_b 4.4819
_cell_length_c 4.4819
_cell_angle_alpha 90.00
_cell_angle_beta 90.00
_cell_angle_gamma 90.00
_space_group_name_H-M_alt 'P m -3 m'
_space_group_IT_number 221
_space_group_name_Hall '-P 4 2 3'
loop_
_atom_site_label
_atom_site_type_symbol
_atom_site_fract_x
_atom_site_fract_y
_atom_site_fract_z
Na1 Na 0.0000 0.0000 0.0000
Sc1 Sc 0.5000 0.5000 0.5000
Tc1 Tc 0.0000 0.0000 0.5000
```